A) # La6AgPt, relaxed, DFT PBE
data_La6AgPt
_chemical_formula_sum 'La6 Ag1 Pt1'
_cell_length_a 6.998
_cell_length_b 7.001
_cell_length_c 8.051
_cell_angle_alpha 90.10
_cell_angle_beta 115.67
_cell_angle_gamma 119.98
_symmetry_space_group_name_H-M 'P -1'
_symmetry_Int_Tables_number 2
loop_
_symmetry_equiv_pos_as_xyz
'x,y,z'
'-x,-y,-z'
loop_
_atom_site_label
_atom_site_fract_x
_atom_site_fract_y
_atom_site_fract_z
_atom_site_occupancy
La1 0.019 0.447 0.246 1
La2 0.298 0.072 0.246 1
La3 0.327 0.273 0.754 1
Ag1 0.500 0.000 0.000 1
Pt1 0.500 0.500 0.500 1
# N(E_F)   13.78 states/eV per cell
# Spin magnetization   0.00 μB/f.u.
# Crystal system   triclinic

B) # La6AgPt, relaxed, DFT PBE
data_La6AgPt
_chemical_formula_sum 'La12 Ag2 Pt2'
_cell_length_a 7.549
_cell_length_b 7.543
_cell_length_c 9.541
_cell_angle_alpha 90.00
_cell_angle_beta 113.12
_cell_angle_gamma 90.00
_symmetry_space_group_name_H-M 'C 1 2/m 1'
_symmetry_Int_Tables_number 12
loop_
_symmetry_equiv_pos_as_xyz
'x,y,z'
'-x,-y,-z'
'-x,y,-z'
'x,-y,z'
'x+1/2,y+1/2,z'
'-x+1/2,-y+1/2,-z'
'-x+1/2,y+1/2,-z'
'x+1/2,-y+1/2,z'
loop_
_atom_site_label
_atom_site_fract_x
_atom_site_fract_y
_atom_site_fract_z
_atom_site_occupancy
La1 0.147 0.248 0.296 1
La2 0.244 0.500 0.002 1
Ag1 0.000 0.500 0.500 1
Pt1 0.000 0.000 0.500 1
# N(E_F)   28.57 states/eV per cell
# Spin magnetization   0.01 μB/f.u.
# Crystal system   monoclinic

Which structure is the least stable? The one labeled A).

A) # LaAgPt3, relaxed, DFT PBE
data_LaAgPt3
_chemical_formula_sum 'La1 Ag1 Pt3'
_cell_length_a 4.928
_cell_length_b 4.928
_cell_length_c 4.928
_cell_angle_alpha 90.00
_cell_angle_beta 90.00
_cell_angle_gamma 90.00
_symmetry_space_group_name_H-M 'P m -3 m'
_symmetry_Int_Tables_number 221
_symmetry_space_group_name_Hall '-P 4 2 3'
loop_
_atom_site_label
_atom_site_fract_x
_atom_site_fract_y
_atom_site_fract_z
_atom_site_occupancy
La1 0.000 0.000 0.000 1
Ag1 0.500 0.500 0.500 1
Pt1 0.000 0.500 0.500 1
# N(E_F)   2.50 states/eV per cell
# Spin magnetization   0.00 μB/f.u.
# Crystal system   cubic

B) # LaAgPt3, relaxed, DFT PBE
data_LaAgPt3
_chemical_formula_sum 'La1 Ag1 Pt3'
_cell_length_a 5.251
_cell_length_b 5.251
_cell_length_c 5.251
_cell_angle_alpha 90.00
_cell_angle_beta 90.00
_cell_angle_gamma 90.00
_symmetry_space_group_name_H-M 'P m -3 m'
_symmetry_Int_Tables_number 221
_symmetry_space_group_name_Hall '-P 4 2 3'
loop_
_atom_site_label
_atom_site_fract_x
_atom_site_fract_y
_atom_site_fract_z
_atom_site_occupancy
La1 0.000 0.000 0.000 1
Ag1 0.500 0.500 0.500 1
Pt1 0.000 0.000 0.500 1
# N(E_F)   5.23 states/eV per cell
# Spin magnetization   0.00 μB/f.u.
# Crystal system   cubic

Which structure is the least stable? The one labeled B).

A) # La3Ag2Pt, relaxed, DFT PBE
data_La3Ag2Pt
_chemical_formula_sum 'La12 Ag8 Pt4'
_cell_length_a 14.616
_cell_length_b 6.179
_cell_length_c 8.388
_cell_angle_alpha 90.00
_cell_angle_beta 106.70
_cell_angle_gamma 90.00
_symmetry_space_group_name_H-M 'C 1 2/c 1'
_symmetry_Int_Tables_number 15
loop_
_symmetry_equiv_pos_as_xyz
'x,y,z'
'-x,-y,-z'
'-x,y,-z+1/2'
'x,-y,z+1/2'
'x+1/2,y+1/2,z'
'-x+1/2,-y+1/2,-z'
'-x+1/2,y+1/2,-z+1/2'
'x+1/2,-y+1/2,z+1/2'
loop_
_atom_site_label
_atom_site_fract_x
_atom_site_fract_y
_atom_site_fract_z
_atom_site_occupancy
La1 0.000 0.000 0.250 1
La2 0.146 0.500 0.073 1
Ag1 0.177 0.000 0.088 1
Pt1 0.000 0.500 0.250 1
# N(E_F)   18.81 states/eV per cell
# Spin magnetization   0.00 μB/f.u.
# Crystal system   monoclinic

B) # La3Ag2Pt, relaxed, DFT PBE
data_La3Ag2Pt
_chemical_formula_sum 'La12 Ag8 Pt4'
_cell_length_a 5.252
_cell_length_b 15.964
_cell_length_c 7.624
_cell_angle_alpha 90.00
_cell_angle_beta 90.00
_cell_angle_gamma 90.00
_symmetry_space_group_name_H-M 'C m m m'
_symmetry_Int_Tables_number 65
_symmetry_space_group_name_Hall '-C 2 2'
loop_
_atom_site_label
_atom_site_fract_x
_atom_site_fract_y
_atom_site_fract_z
_atom_site_occupancy
La1 0.000 0.000 0.244 1
La2 0.000 0.324 0.228 1
Ag1 0.000 0.167 0.500 1
Ag2 0.000 0.500 0.000 1
Ag3 0.000 0.500 0.500 1
Pt1 0.000 0.150 0.000 1
# N(E_F)   21.82 states/eV per cell
# Spin magnetization   0.00 μB/f.u.
# Crystal system   orthorhombic

Which structure is the least stable? The one labeled A).

A) # La2Ag2Pt, relaxed, DFT PBE
data_La2Ag2Pt
_chemical_formula_sum 'La4 Ag4 Pt2'
_cell_length_a 5.828
_cell_length_b 5.828
_cell_length_c 7.976
_cell_angle_alpha 90.00
_cell_angle_beta 90.00
_cell_angle_gamma 90.00
_symmetry_space_group_name_H-M 'I 4/m m m'
_symmetry_Int_Tables_number 139
_symmetry_space_group_name_Hall '-I 4 2'
loop_
_atom_site_label
_atom_site_fract_x
_atom_site_fract_y
_atom_site_fract_z
_atom_site_occupancy
La1 0.000 0.500 0.250 1
Ag1 0.000 0.000 0.159 1
Pt1 0.000 0.000 0.500 1
# N(E_F)   3.89 states/eV per cell
# Spin magnetization   0.00 μB/f.u.
# Crystal system   tetragonal

B) # La2Ag2Pt, relaxed, DFT PBE
data_La2Ag2Pt
_chemical_formula_sum 'La4 Ag4 Pt2'
_cell_length_a 7.619
_cell_length_b 7.619
_cell_length_c 4.309
_cell_angle_alpha 90.00
_cell_angle_beta 90.00
_cell_angle_gamma 90.00
_symmetry_space_group_name_H-M 'P 4/m b m'
_symmetry_Int_Tables_number 127
_symmetry_space_group_name_Hall '-P 4 2ab'
loop_
_atom_site_label
_atom_site_fract_x
_atom_site_fract_y
_atom_site_fract_z
_atom_site_occupancy
La1 0.180 0.320 0.000 1
Ag1 0.127 0.627 0.500 1
Pt1 0.000 0.000 0.500 1
# N(E_F)   7.32 states/eV per cell
# Spin magnetization   0.00 μB/f.u.
# Crystal system   tetragonal

C) # La2Ag2Pt, relaxed, DFT PBE
data_La2Ag2Pt
_chemical_formula_sum 'La4 Ag4 Pt2'
_cell_length_a 7.874
_cell_length_b 7.874
_cell_length_c 4.561
_cell_angle_alpha 90.00
_cell_angle_beta 90.00
_cell_angle_gamma 90.00
_symmetry_space_group_name_H-M 'P 4/m b m'
_symmetry_Int_Tables_number 127
_symmetry_space_group_name_Hall '-P 4 2ab'
loop_
_atom_site_label
_atom_site_fract_x
_atom_site_fract_y
_atom_site_fract_z
_atom_site_occupancy
La1 0.174 0.326 0.000 1
Ag1 0.126 0.626 0.500 1
Pt1 0.000 0.000 0.000 1
# N(E_F)   5.17 states/eV per cell
# Spin magnetization   0.00 μB/f.u.
# Crystal system   tetragonal

Which structure is the least stable? The one labeled A).

A) # La6Ag2Pt, relaxed, DFT PBE
data_La6Ag2Pt
_chemical_formula_sum 'La24 Ag8 Pt4'
_cell_length_a 10.155
_cell_length_b 10.349
_cell_length_c 10.461
_cell_angle_alpha 90.00
_cell_angle_beta 90.00
_cell_angle_gamma 90.00
_symmetry_space_group_name_H-M 'I m m m'
_symmetry_Int_Tables_number 71
_symmetry_space_group_name_Hall '-I 2 2'
loop_
_atom_site_label
_atom_site_fract_x
_atom_site_fract_y
_atom_site_fract_z
_atom_site_occupancy
La1 0.000 0.160 0.247 1
La2 0.160 0.500 0.278 1
La3 0.236 0.318 0.000 1
Ag1 0.000 0.355 0.500 1
Ag2 0.137 0.000 0.000 1
Pt1 0.000 0.000 0.500 1
Pt2 0.000 0.500 0.000 1
# N(E_F)   37.85 states/eV per cell
# Spin magnetization   0.00 μB/f.u.
# Crystal system   orthorhombic

B) # La6Ag2Pt, relaxed, DFT PBE
data_La6Ag2Pt
_chemical_formula_sum 'La12 Ag4 Pt2'
_cell_length_a 6.615
_cell_length_b 8.057
_cell_length_c 12.420
_cell_angle_alpha 90.00
_cell_angle_beta 119.39
_cell_angle_gamma 90.00
_symmetry_space_group_name_H-M 'P 1 21/c 1'
_symmetry_Int_Tables_number 14
loop_
_symmetry_equiv_pos_as_xyz
'x,y,z'
'-x,-y,-z'
'-x,y+1/2,-z+1/2'
'x,-y+1/2,z+1/2'
loop_
_atom_site_label
_atom_site_fract_x
_atom_site_fract_y
_atom_site_fract_z
_atom_site_occupancy
La1 0.093 0.203 0.442 1
La2 0.301 0.661 0.452 1
La3 0.387 0.040 0.244 1
Ag1 0.141 0.111 0.730 1
Pt1 0.500 0.000 0.500 1
# N(E_F)   24.48 states/eV per cell
# Spin magnetization   0.00 μB/f.u.
# Crystal system   monoclinic

Which structure is the least stable? The one labeled A).